First-principles (PBE with a Hubbard U) data for crystalline Rb6U5V2O23 at its relaxed geometry, as listed in the Alexandria database.

Calculated values
- Raw total energy: -574.159 eV/cell
- Total magnetization: 0.00 μB per formula unit

The structure in CIF format:
```
data_Rb6U5V2O23
_chemical_formula_sum 'Rb12 U10 V4 O46'
_cell_length_a 13.096
_cell_length_b 13.096
_cell_length_c 14.839
_cell_angle_alpha 75.68
_cell_angle_beta 75.68
_cell_angle_gamma 31.95
_space_group_name_H-M_alt 'P 1'
_space_group_IT_number 1
loop_
_space_group_symop_operation_xyz
'x,y,z'
loop_
_atom_site_label
_atom_site_type_symbol
_atom_site_fract_x
_atom_site_fract_y
_atom_site_fract_z
Rb1 Rb 0.785 0.288 0.454
Rb2 Rb 0.627 0.114 0.613
Rb3 Rb 0.931 0.487 0.325
Rb4 Rb 0.069 0.513 0.675
Rb5 Rb 0.712 0.215 0.046
Rb6 Rb 0.373 0.886 0.387
Rb7 Rb 0.886 0.373 0.887
Rb8 Rb 0.114 0.627 0.113
Rb9 Rb 0.487 0.931 0.825
Rb10 Rb 0.513 0.069 0.175
Rb11 Rb 0.288 0.785 0.954
Rb12 Rb 0.215 0.712 0.546
U1 U 0.812 0.895 0.883
U2 U 0.529 0.638 0.672
U3 U 0.105 0.188 0.617
U4 U 0.188 0.105 0.117
U5 U 0.362 0.471 0.828
U6 U 0.471 0.362 0.328
U7 U 0.074 0.926 0.250
U8 U 0.926 0.074 0.750
U9 U 0.638 0.529 0.172
U10 U 0.895 0.812 0.383
V1 V 0.328 0.236 0.430
V2 V 0.672 0.764 0.570
V3 V 0.236 0.328 0.930
V4 V 0.764 0.672 0.070
O1 O 0.152 0.182 0.727
O2 O 0.801 0.064 0.317
O3 O 0.458 0.326 0.218
O4 O 0.688 0.161 0.818
O5 O 0.242 0.242 0.543
O6 O 0.529 0.471 0.250
O7 O 0.161 0.688 0.318
O8 O 0.758 0.758 0.457
O9 O 0.060 0.895 0.138
O10 O 0.326 0.458 0.718
O11 O 0.851 0.664 0.142
O12 O 0.105 0.940 0.362
O13 O 0.758 0.758 0.957
O14 O 0.664 0.851 0.642
O15 O 0.798 0.942 0.998
O16 O 0.516 0.612 0.558
O17 O 0.848 0.818 0.273
O18 O 0.242 0.242 0.043
O19 O 0.336 0.149 0.358
O20 O 0.827 0.528 0.611
O21 O 0.674 0.542 0.282
O22 O 0.122 0.551 0.919
O23 O 0.936 0.199 0.183
O24 O 0.312 0.839 0.182
O25 O 0.149 0.336 0.858
O26 O 0.895 0.060 0.638
O27 O 0.528 0.827 0.111
O28 O 0.551 0.122 0.419
O29 O 0.471 0.529 0.750
O30 O 0.064 0.801 0.817
O31 O 0.199 0.936 0.683
O32 O 0.940 0.105 0.862
O33 O 0.173 0.472 0.389
O34 O 0.388 0.484 0.942
O35 O 0.472 0.173 0.889
O36 O 0.202 0.058 0.002
O37 O 0.058 0.202 0.502
O38 O 0.449 0.878 0.581
O39 O 0.484 0.388 0.442
O40 O 0.818 0.848 0.773
O41 O 0.612 0.516 0.058
O42 O 0.942 0.798 0.498
O43 O 0.839 0.312 0.682
O44 O 0.542 0.674 0.782
O45 O 0.878 0.449 0.081
O46 O 0.182 0.152 0.227
```